## MnReF2 (PBE with a Hubbard U)

Data for an optimized crystal structure of MnReF2.

Cell and atoms, written as extended XYZ:
```
8
Lattice="-2.979 2.979 5.042 2.979 -2.979 5.042 2.979 2.979 -5.042" Properties=species:S:1:pos:R:3 pbc="T T T"
Mn 0.000 0.000 0.000
Mn 0.000 2.979 2.521
Re 2.979 0.000 2.521
Re 0.000 0.000 5.042
F 0.516 1.489 1.260
F -1.489 2.463 3.781
F -0.516 4.468 1.260
F 1.489 3.494 3.781
```

Output
- Relative energy among the computed polymorphs: 3.14 eV/f.u.
- D(E_F): 8.503 states/eV/cell
- E: -24.0 eV/f.u.

## TiMnRe2F (PBE with a Hubbard U)

Data for an optimized crystal structure of TiMnRe2F.

Cell and atoms, written as extended XYZ:
```
5
Lattice="4.309 0.000 0.000 0.000 4.309 0.000 0.000 0.000 4.028" Properties=species:S:1:pos:R:3 pbc="T T T"
Ti 0.000 0.000 0.000
Mn 2.154 2.154 0.000
Re 0.000 2.154 2.014
Re 2.154 0.000 2.014
F 0.000 0.000 2.014
```

Output
- D(E_F): 4.894 states/eV/cell
- E: -38.8 eV/f.u.

## MnReWF2 (PBE with a Hubbard U)

Data for an optimized crystal structure of MnReWF2.

Cell and atoms, written as extended XYZ:
```
5
Lattice="3.825 0.000 0.000 0.000 3.825 0.000 0.000 0.000 6.646" Properties=species:S:1:pos:R:3 pbc="T T T"
Mn 0.000 0.000 0.000
Re 1.912 1.912 3.323
W 0.000 0.000 3.323
F 0.000 1.912 0.000
F 1.912 0.000 0.000
```

Output
- D(E_F): 1.585 states/eV/cell
- E: -31.7 eV/f.u.

> Look up the E of the second one.

-38.8 eV/f.u.